The following is a GGA-PBE calculation of a relaxed structure of In2AgPt, from the Alexandria database.

The relative energy among the computed polymorphs is 0.051 eV per atom.

The space group is Imm2 (No. 44) and the conventional cell measures 4.1643, 4.2077 and 8.7752 Å, with angles of 90.00, 90.00 and 90.00 degrees. The distinct sites, in fractional coordinates, are In at (0.0000, 0.0000, 0.0000), In at (0.0000, 0.5000, 0.2488), Ag at (0.0000, 0.0000, 0.4980) and Pt at (0.0000, 0.5000, 0.7484).

=====

The following is a GGA-PBE calculation of a relaxed structure of LaCr2Ru, from the Alexandria database.

The relative energy among the computed polymorphs is 0.087 eV per atom.

The space group is C2/m (No. 12) and the conventional cell measures 9.3951, 3.0652 and 5.3765 Å, with angles of 90.00, 104.18 and 90.00 degrees. The distinct sites, in fractional coordinates, are La at (0.0000, 0.0000, 0.0000), Cr at (0.2189, 0.0000, 0.6210) and Ru at (0.0000, 0.5000, 0.5000).

=====

The following is a GGA-PBE calculation of a relaxed structure of Ba6Ag5Sn, from the Alexandria database.

The space group is Immm (No. 71) and the conventional cell measures 5.8432, 8.3639 and 17.6197 Å, with angles of 90.00, 90.00 and 90.00 degrees. The distinct sites, in fractional coordinates, are Ba at (0.0000, 0.2488, 0.0000), Ba at (0.0000, 0.2496, 0.3340), Ag at (0.0000, 0.0000, 0.1681), Ag at (0.0000, 0.5000, 0.1659), Ag at (0.0000, 0.5000, 0.5000) and Sn at (0.0000, 0.0000, 0.5000).

=====

| no. | formation energy from the elements (meV per atom) | energy (eV per atom) |
| --- | --- | --- |
| 1 | -155 | -3.748 |
| 2 | 399 | -7.964 |
| 3 | -309 | -2.792 |